# 1
A relaxed structure of Rb2Cu2F7, computed with PBE-GGA.

POSCAR file:
```
Rb2Cu2F7
1.0
3.796 -6.223 0.000
3.796 6.223 0.000
-0.009 0.000 3.819
Rb Cu F
2 2 7
direct
0.217 0.783 0.000 Rb
0.783 0.217 0.000 Rb
0.271 0.271 0.501 Cu
0.729 0.729 0.499 Cu
0.000 0.000 0.500 F
0.140 0.433 0.501 F
0.292 0.292 0.001 F
0.433 0.140 0.501 F
0.567 0.860 0.499 F
0.708 0.708 0.999 F
0.860 0.567 0.499 F
```

Formation energy from raw total energies: -2098 kJ/mol of formula units
D(E_F): 2.901 states/eV/cell
Excess energy over the best structure of this formula in the dataset: 7 meV per atom

# 2
A relaxed structure of PrSnS, computed with PBE-GGA.

POSCAR file:
```
PrSnS
1.0
-2.053 2.053 9.322
2.053 -2.053 9.322
2.053 2.053 -9.322
Pr Sn S
2 2 2
direct
0.158 0.158 0.000 Pr
0.842 0.842 0.000 Pr
0.000 0.500 0.500 Sn
0.500 0.000 0.500 Sn
0.313 0.313 0.000 S
0.687 0.687 0.000 S
```

Formation energy from raw total energies: -384 kJ/mol of formula units
D(E_F): 2.768 states/eV/cell

# 3
A relaxed structure of Nd2AlSn2, computed with PBE-GGA.

POSCAR file:
```
Nd2AlSn2
1.0
2.327 -8.795 0.000
2.327 8.795 0.000
0.000 0.000 7.039
Nd Al Sn
4 2 4
direct
0.014 0.986 0.500 Nd
0.205 0.795 0.200 Nd
0.795 0.205 0.700 Nd
0.986 0.014 0.000 Nd
0.404 0.596 0.327 Al
0.596 0.404 0.827 Al
0.171 0.829 0.727 Sn
0.420 0.580 0.724 Sn
0.580 0.420 0.224 Sn
0.829 0.171 0.227 Sn
```

D(E_F): 5.183 states/eV/cell
Raw total energy: -24.0 eV per formula unit

# 4
A relaxed structure of LiCdCl2, computed with PBE-GGA.

POSCAR file:
```
LiCdCl2
1.0
-1.923 1.927 7.438
1.923 -1.927 7.438
1.923 1.927 -7.438
Li Cd Cl
1 1 2
direct
0.000 0.000 0.000 Li
0.256 0.756 0.500 Cd
0.498 0.498 0.000 Cl
0.748 0.248 0.500 Cl
```

Formation energy from raw total energies: -365 kJ/mol of formula units
D(E_F): 0.835 states/eV/cell
Excess energy over the best structure of this formula in the dataset: 115 meV per atom

# 5
A relaxed structure of Pr6Ni2RhBr3, computed with PBE-GGA.

POSCAR file:
```
Pr6Ni2RhBr3
1.0
3.578 -6.198 0.000
3.578 6.198 0.000
-2.385 0.000 7.830
Pr Ni Rh Br
6 2 1 3
direct
0.099 0.435 0.806 Pr
0.229 0.229 0.194 Pr
0.435 0.099 0.806 Pr
0.565 0.901 0.194 Pr
0.771 0.771 0.806 Pr
0.901 0.565 0.194 Pr
0.167 0.833 0.000 Ni
0.833 0.167 0.000 Ni
0.500 0.500 0.000 Rh
0.000 0.000 0.500 Br
0.333 0.667 0.500 Br
0.667 0.333 0.500 Br
```

Formation energy from raw total energies: -1027 kJ/mol of formula units
D(E_F): 8.568 states/eV/cell

# 6
A relaxed structure of Nd8C3Br4F, computed with PBE-GGA.

POSCAR file:
```
Nd8C3Br4F
1.0
3.822 2.207 7.423
-3.822 2.207 7.423
0.000 -4.414 7.423
Nd C Br F
8 3 4 1
direct
0.212 0.736 0.736 Nd
0.229 0.229 0.229 Nd
0.264 0.264 0.788 Nd
0.264 0.788 0.264 Nd
0.736 0.212 0.736 Nd
0.736 0.736 0.212 Nd
0.771 0.771 0.771 Nd
0.788 0.264 0.264 Nd
0.000 0.000 0.500 C
0.000 0.500 0.000 C
0.500 0.000 0.000 C
0.000 0.000 0.000 Br
0.000 0.500 0.500 Br
0.500 0.000 0.500 Br
0.500 0.500 0.000 Br
0.500 0.500 0.500 F
```

Formation energy from raw total energies: -1695 kJ/mol of formula units
D(E_F): 8.676 states/eV/cell

# 7
A relaxed structure of LaScZn, computed with PBE-GGA.

POSCAR file:
```
LaScZn
1.0
4.929 0.000 0.000
-2.464 4.269 0.000
0.000 0.000 3.719
La Sc Zn
1 1 1
direct
0.000 0.000 0.000 La
0.667 0.333 0.500 Sc
0.333 0.667 0.500 Zn
```

D(E_F): 4.570 states/eV/cell
Excess energy over the best structure of this formula in the dataset: 124 meV per atom

# 8
A relaxed structure of Sr2ThPt4, computed with PBE-GGA.

POSCAR file:
```
Sr2ThPt4
1.0
-2.523 2.523 6.995
2.523 -2.523 6.995
2.523 2.523 -6.995
Sr Th Pt
2 1 4
direct
0.228 0.228 0.000 Sr
0.772 0.772 0.000 Sr
0.500 0.500 0.000 Th
0.106 0.606 0.500 Pt
0.394 0.894 0.500 Pt
0.606 0.106 0.500 Pt
0.894 0.394 0.500 Pt
```

D(E_F): 2.854 states/eV/cell
Raw total energy: -39.7 eV per formula unit

# 9
A relaxed structure of NdTmAlTl, computed with PBE-GGA.

POSCAR file:
```
NdTmAlTl
1.0
3.688 0.000 0.000
0.000 3.688 0.000
0.000 0.000 7.708
Nd Tm Al Tl
1 1 1 1
direct
0.000 0.000 0.000 Nd
0.000 0.000 0.471 Tm
0.500 0.500 0.249 Al
0.500 0.500 0.717 Tl
```

D(E_F): 2.146 states/eV/cell
Excess energy over the best structure of this formula in the dataset: 0 meV per atom

# 10
A relaxed structure of Hf2Cu2Ir, computed with PBE-GGA.

POSCAR file:
```
Hf2Cu2Ir
1.0
6.915 0.000 0.000
0.000 6.915 0.000
0.000 0.000 3.355
Hf Cu Ir
4 4 2
direct
0.181 0.319 0.000 Hf
0.319 0.819 0.000 Hf
0.681 0.181 0.000 Hf
0.819 0.681 0.000 Hf
0.121 0.621 0.500 Cu
0.379 0.121 0.500 Cu
0.621 0.879 0.500 Cu
0.879 0.379 0.500 Cu
0.000 0.000 0.500 Ir
0.500 0.500 0.500 Ir
```

D(E_F): 4.301 states/eV/cell
Excess energy over the best structure of this formula in the dataset: 20 meV per atom

# 11
A relaxed structure of ScTlS2, computed with PBE-GGA.

POSCAR file:
```
ScTlS2
1.0
1.896 1.095 7.570
-1.896 1.095 7.570
0.000 -2.190 7.570
Sc Tl S
1 1 2
direct
0.000 0.000 0.000 Sc
0.832 0.832 0.832 Tl
0.396 0.396 0.396 S
0.604 0.604 0.604 S
```

Formation energy from raw total energies: -524 kJ/mol of formula units

# 12
A relaxed structure of TlAuS, computed with PBE-GGA.

POSCAR file:
```
TlAuS
1.0
5.380 -5.997 0.000
5.380 5.997 0.000
-5.371 0.000 5.401
Tl Au S
4 4 4
direct
0.029 0.279 0.058 Tl
0.279 0.029 0.558 Tl
0.721 0.971 0.442 Tl
0.971 0.721 0.942 Tl
0.000 0.500 0.500 Au
0.500 0.000 0.000 Au
0.500 0.500 0.000 Au
0.500 0.500 0.500 Au
0.138 0.388 0.751 S
0.388 0.138 0.251 S
0.612 0.862 0.749 S
0.862 0.612 0.249 S
```

Formation energy from raw total energies: -57 kJ/mol of formula units
D(E_F): 0.334 states/eV/cell

Q: Number 8 is which compound?
A: Sr2ThPt4